The following is a DFT calculation (PBE) of a relaxed LaAsO3 crystal.

a b c (Å): 6.5564 7.0841 8.5342
angles (deg): 90.00 127.75 90.00
With the nearest neighbours (Å) after each atom.
Space group P2_1/c (No. 14)
Inequivalent atoms, fractional coordinates:
La  0.1525  0.1386  0.3737  7 O 2.43-2.70
As  0.3641  0.6668  0.6050  3 O 1.79-1.83
O  0.0794  0.6803  0.9748  1 As 1.83
O  0.2021  0.0235  0.9318  1 As 1.79
O  0.3861  0.5925  0.8160  1 As 1.80

VASP energy: -7.359 eV/atom
ΔE_f (raw): -12.34 eV per formula unit
calculated volume: 313.44 Å³/cell
ρ: 5.5 g cm⁻³